ErBeO3 after structural relaxation, computed with PBE.

Values from the calculation:
Formation energy from raw total energies ... -1193 kJ/mol of formula units
M_tot ... 1.0 μB per cell

```
5
Lattice="-0.445 -3.365 -1.043 3.155 0.087 -1.627 1.568 -1.131 2.979" Properties=species:S:1:pos:R:3 pbc="T T T"
O 0.561 -2.248 0.968
Be 2.139 -2.204 0.154
O 2.361 -0.522 0.676
Er 0.000 0.000 0.000
O 1.355 -1.639 -1.335
```

K2NaCu2H6 after structural relaxation, computed with PBE.

Values from the calculation:
Calculated total energy ... -32.0 eV/cell
M_tot ... 0.0 μB per cell

```
11
Lattice="-2.198 -5.066 1.204 5.846 0.451 -0.694 -1.662 2.019 5.460" Properties=species:S:1:pos:R:3 pbc="T T T"
Cu 1.551 -2.674 4.848
H 3.597 -3.045 1.301
H 1.866 -0.420 1.642
Cu 0.434 0.078 1.121
H -2.862 -2.432 5.354
H 0.119 -2.176 4.328
H -1.612 0.449 4.669
K 0.813 -3.122 1.614
Na -1.930 -1.524 3.332
K 1.173 0.526 4.355
H 4.847 -0.164 0.616
```

Li3HgPd after structural relaxation, computed with PBE.

Values from the calculation:
Energy relative to the lowest polymorph listed for this composition ... 103 meV per atom
M_tot ... 0.0 μB per cell
Formation energy from the elements ... -1.29 eV/f.u.

```
20
Lattice="6.225 0.000 0.000 -0.004 7.272 -0.399 -0.004 0.953 7.220" Properties=species:S:1:pos:R:3 pbc="T T T"
Li 2.444 7.164 6.376
Li 2.005 3.033 0.528
Li 5.117 1.080 2.883
Hg 1.552 5.496 1.742
Li 0.660 0.634 0.960
Li 1.100 7.145 3.938
Pd 3.771 6.968 4.146
Li 2.447 4.743 4.370
Pd 0.658 5.363 6.081
Hg 4.665 5.890 1.267
Hg 1.552 2.335 5.554
Li 3.772 1.061 0.446
Li 5.557 7.590 5.861
Hg 4.665 2.728 5.079
Li 4.212 5.191 6.293
Pd 2.446 1.257 2.675
Li 3.770 3.481 2.451
Li 0.658 3.053 2.968
Li 5.559 5.172 3.853
Pd 5.559 2.861 0.740
```